Entry 1:
Compound: K2Er2USe6
Source: Alexandria via LeMat-Bulk
Functional: PBE
Structure: optimized geometry

```
data_K2Er2USe6
_chemical_formula_sum 'K4 Er4 U2 Se12'
_cell_length_a 7.185
_cell_length_b 12.429
_cell_length_c 8.213
_cell_angle_alpha 90.00
_cell_angle_beta 107.08
_cell_angle_gamma 90.00
_space_group_name_H-M_alt 'C 1 2/m 1'
_space_group_IT_number 12
_space_group_name_Hall '-C 2y'
loop_
_atom_site_label
_atom_site_type_symbol
_atom_site_fract_x
_atom_site_fract_y
_atom_site_fract_z
K1 K 0.000 0.167 0.000
Er1 Er 0.000 0.333 0.500
U1 U 0.000 0.000 0.500
Se1 Se 0.233 0.166 0.700
Se2 Se 0.235 0.500 0.699
```

Properties
Its mass density is 5.33 g cm⁻³. The density of states at the Fermi level is 13.7 states/eV per cell. The calculation puts the formation energy without anion corrections at -1.59 eV/atom.


Entry 2:
Compound: CsNbS4
Source: Alexandria via LeMat-Bulk
Functional: PBE
Structure: optimized geometry

```
data_CsNbS4
_chemical_formula_sum 'Cs4 Nb4 S16'
_cell_length_a 8.338
_cell_length_b 15.442
_cell_length_c 6.546
_cell_angle_alpha 90.00
_cell_angle_beta 90.01
_cell_angle_gamma 90.00
_space_group_name_H-M_alt 'C 1 2/c 1'
_space_group_IT_number 15
_space_group_name_Hall '-C 2yc'
loop_
_atom_site_label
_atom_site_type_symbol
_atom_site_fract_x
_atom_site_fract_y
_atom_site_fract_z
Cs1 Cs 0.000 0.137 0.250
Nb1 Nb 0.000 0.448 0.750
S1 S 0.080 0.307 0.872
S2 S 0.197 0.490 0.037
```

Properties
Its mass density is 2.79 g cm⁻³. The calculation puts the formation energy without anion corrections at -0.92 eV/atom.


Entry 3:
Compound: LiPmTh2S5
Source: Alexandria via LeMat-Bulk
Functional: PBE
Structure: optimized geometry

```
data_LiPmTh2S5
_chemical_formula_sum 'Li4 Pm4 Th8 S20'
_cell_length_a 3.939
_cell_length_b 16.532
_cell_length_c 12.037
_cell_angle_alpha 90.00
_cell_angle_beta 90.00
_cell_angle_gamma 90.00
_space_group_name_H-M_alt 'C m c 21'
_space_group_IT_number 36
_space_group_name_Hall 'C 2c -2'
loop_
_atom_site_label
_atom_site_type_symbol
_atom_site_fract_x
_atom_site_fract_y
_atom_site_fract_z
Li1 Li 0.000 0.008 0.000
Pm1 Pm 0.000 0.308 0.513
Th1 Th 0.000 0.374 0.815
Th2 Th 0.000 0.386 0.196
S1 S 0.000 0.002 0.804
S2 S 0.000 0.139 0.515
S3 S 0.000 0.193 0.847
S4 S 0.000 0.205 0.178
S5 S 0.000 0.462 0.592
```

Properties
Its mass density is 6.58 g cm⁻³. The density of states at the Fermi level is 18.2 states/eV per cell. The calculation puts the formation energy without anion corrections at -1.80 eV/atom.


Entry 4:
Compound: Hf2NbTcP
Source: Alexandria via LeMat-Bulk
Functional: PBE
Structure: optimized geometry

```
data_Hf2NbTcP
_chemical_formula_sum 'Hf2 Nb1 Tc1 P1'
_cell_length_a 4.832
_cell_length_b 4.832
_cell_length_c 4.282
_cell_angle_alpha 90.00
_cell_angle_beta 90.00
_cell_angle_gamma 90.00
_space_group_name_H-M_alt 'P 4/m m m'
_space_group_IT_number 123
_space_group_name_Hall '-P 4 2'
loop_
_atom_site_label
_atom_site_type_symbol
_atom_site_fract_x
_atom_site_fract_y
_atom_site_fract_z
Hf1 Hf 0.000 0.500 0.000
Nb1 Nb 0.000 0.000 0.500
Tc1 Tc 0.500 0.500 0.500
P1 P 0.500 0.500 0.000
```

Properties
Its mass density is 9.61 g cm⁻³. The density of states at the Fermi level is 4.1 states/eV per cell. The calculation puts the formation energy at 59 meV per atom.